Entry 1:
Density functional theory data (PBE) for Al2GaCu5 after structural relaxation.

```
Al2GaCu5
1.0
-2.454 2.213 -2.608
-3.156 -0.228 2.776
4.635 3.970 2.405
Al Ga Cu
2 1 5
Direct
0.745 0.745 0.491
0.255 0.255 0.509
0.000 0.000 0.000
0.500 0.500 0.000
0.875 0.375 0.749
0.375 0.875 0.749
0.125 0.625 0.251
0.625 0.125 0.251
```

- VASP energy (eV/atom) = -4.017
- density (g/cm3) = 7.077

Entry 2:
Density functional theory data (PBE) for Al5GaCu2 after structural relaxation.

```
Al5GaCu2
1.0
-3.802 0.461 -0.051
-2.549 -5.333 -1.944
-2.310 -2.564 5.177
Al Ga Cu
5 1 2
Direct
0.000 0.500 0.500
0.653 0.534 0.160
0.347 0.466 0.840
0.347 0.840 0.466
0.653 0.160 0.534
0.000 0.000 0.000
0.726 0.774 0.774
0.274 0.226 0.226
```

- VASP energy (eV/atom) = -3.776
- density (g/cm3) = 4.162

Entry 3:
Density functional theory data (PBE) for AlGa2Cu8 after structural relaxation.

```
AlGa2Cu8
1.0
4.191 0.939 0.000
1.677 6.346 0.000
0.839 3.173 5.894
Al Ga Cu
1 2 8
Direct
0.500 0.000 0.000
0.000 0.306 0.388
0.000 0.694 0.612
0.851 0.099 0.223
0.851 0.322 0.777
0.305 0.410 0.000
0.500 0.792 0.415
0.500 0.208 0.585
0.695 0.590 0.000
0.149 0.678 0.223
0.149 0.901 0.777
```

- VASP energy (eV/atom) = -3.885
- density (g/cm3) = 7.597
- energy above the most stable polymorph in this dataset (eV/atom) = 0.105

Entry 4:
Density functional theory data (PBE) for Al2GaCu after structural relaxation.

```
Al2GaCu
1.0
-1.636 2.121 3.152
0.315 -1.457 3.858
3.506 2.478 2.866
Al Ga Cu
2 1 1
Direct
0.062 0.062 0.813
0.273 0.273 0.181
0.491 0.491 0.527
0.673 0.673 0.980
```

- VASP energy (eV/atom) = -3.687
- density (g/cm3) = 4.586

Entry 5:
Density functional theory data (PBE) for Al6GaCu after structural relaxation.

```
Al6GaCu
1.0
-0.856 1.689 -3.512
1.941 -2.934 -1.884
-6.768 -4.231 -0.384
Al Ga Cu
6 1 1
Direct
0.500 0.500 0.000
0.500 0.500 0.500
0.500 0.000 0.260
0.500 0.000 0.740
0.000 0.500 0.260
0.000 0.500 0.740
0.000 0.000 0.000
0.000 0.000 0.500
```

- VASP energy (eV/atom) = -3.702
- density (g/cm3) = 3.852

Entry 6:
Density functional theory data (PBE) for Al2GaCu2 after structural relaxation.

```
Al2GaCu2
1.0
-2.849 1.468 -6.961
3.448 -6.274 -2.735
-2.123 -1.415 0.570
Cu Ga Al
4 2 4
Direct
0.166 0.666 0.500
0.666 0.834 0.500
0.834 0.334 0.500
0.334 0.166 0.500
0.000 0.000 0.000
0.500 0.500 0.000
0.370 0.870 0.000
0.870 0.630 0.000
0.630 0.130 0.000
0.130 0.370 0.000
```

- VASP energy (eV/atom) = -3.785
- density (g/cm3) = 5.424
- energy above the most stable polymorph in this dataset (eV/atom) = 0.091

Entry 7:
Density functional theory data (PBE) for AlGa2Cu2 after structural relaxation.

```
AlGa2Cu2
1.0
-2.952 -6.955 -1.415
0.676 -1.801 7.443
-2.388 0.924 0.441
Cu Ga Al
4 4 2
Direct
0.169 0.669 0.500
0.669 0.831 0.500
0.831 0.331 0.500
0.331 0.169 0.500
0.370 0.870 0.000
0.870 0.630 0.000
0.630 0.130 0.000
0.130 0.370 0.000
0.000 0.000 0.000
0.500 0.500 0.000
```

- VASP energy (eV/atom) = -3.564
- density (g/cm3) = 6.349
- energy above the most stable polymorph in this dataset (eV/atom) = 0.135

Entry 8:
Density functional theory data (PBE) for AlGaCu4 after structural relaxation.

```
AlGaCu4
1.0
-1.933 1.702 2.193
1.399 -0.648 4.345
0.893 5.921 -1.200
Al Ga Cu
1 1 4
Direct
0.500 0.500 0.500
0.000 0.000 0.000
0.835 0.498 0.831
0.331 0.001 0.336
0.165 0.502 0.169
0.669 0.999 0.664
```

- VASP energy (eV/atom) = -3.993
- density (g/cm3) = 7.555

| no. | total magnetic moment (μB/cell) | E_form (eV/atom) |
| --- | --- | --- |
| 1 | 0.00 | -0.1426 |
| 2 | 0.00 | -0.0344 |
| 3 | 0.00 | -0.0154 |
| 4 | 0.00 | -0.0351 |
| 5 | 0.00 | -0.0043 |
| 6 | 0.00 | -0.0443 |
| 7 | 0.00 | 0.0335 |
| 8 | 0.00 | -0.1344 |